The following is a PBE-GGA calculation of a relaxed structure of PtAu2Se, from Alexandria via LeMat-Bulk.

- magnetization (μB per formula unit) = 0.00
- volume (Å³ per atom) = 18.519
- Fermi-level density of states (states/eV/cell) = 1.3
- total DFT energy (no corrections) (eV per cell) = -15.50

```
PtAu2Se
1.0
3.4322 0.0000 0.0000
0.0000 3.4165 0.0000
0.0000 0.0000 6.3171
Au Pt Se
2 1 1
Direct
0.0000 0.0000 0.0171
0.5000 0.5000 0.2566
0.0000 0.0000 0.5376
0.5000 0.5000 0.6886
```